(1)
A plane-wave DFT calculation with PBE was carried out for an optimized crystal structure of Tb2In5I12.

a b c (Å): 10.525 10.525 10.869
angles (deg): 108.37 108.37 50.07
Element x y z (fractional)
Tb 0.245 0.755 0.000
Tb 0.755 0.245 0.000
In 0.181 0.181 0.822
In 0.228 0.228 0.367
In 0.500 0.500 0.500
In 0.772 0.772 0.633
In 0.819 0.819 0.178
I 0.009 0.009 0.206
I 0.072 0.594 0.912
I 0.132 0.616 0.431
I 0.384 0.868 0.569
I 0.406 0.928 0.088
I 0.494 0.494 0.805
I 0.506 0.506 0.195
I 0.594 0.072 0.912
I 0.616 0.132 0.431
I 0.868 0.384 0.569
I 0.928 0.406 0.088
I 0.991 0.991 0.794

Values from the calculation:
Magnetization: 0.0 μB/cell
Formation energy (no corrections): -15.37 eV/f.u.

(2)
A plane-wave DFT calculation with PBE was carried out for an optimized crystal structure of TbInI2.

a b c (Å): 11.151 11.151 11.151
angles (deg): 21.52 21.52 21.52
Element x y z (fractional)
Tb 0.000 0.000 0.000
In 0.500 0.500 0.500
I 0.091 0.091 0.091
I 0.909 0.909 0.909

Values from the calculation:
Magnetization: 0.0 μB/cell
Formation energy (no corrections): -1.50 eV/f.u.

(3)
A plane-wave DFT calculation with PBE was carried out for an optimized crystal structure of TbTl3In3I8.

a b c (Å): 9.710 9.710 10.161
angles (deg): 117.93 117.93 60.51
Element x y z (fractional)
Tb 0.000 0.000 0.000
Tl 0.000 0.000 0.500
Tl 0.000 0.500 0.000
Tl 0.500 0.000 0.000
In 0.000 0.500 0.500
In 0.500 0.000 0.500
In 0.500 0.500 0.000
I 0.218 0.218 0.219
I 0.219 0.780 0.783
I 0.220 0.781 0.217
I 0.251 0.251 0.747
I 0.749 0.749 0.253
I 0.780 0.219 0.783
I 0.781 0.220 0.217
I 0.782 0.782 0.781

Values from the calculation:
Magnetization: 0.0 μB/cell
Formation energy (no corrections): -10.07 eV/f.u.

(4)
A plane-wave DFT calculation with PBE was carried out for an optimized crystal structure of TbTl2InI6.

a b c (Å): 8.604 8.611 8.970
angles (deg): 90.02 118.66 119.97
Element x y z (fractional)
Tb 0.000 0.000 0.000
Tl 0.378 0.689 0.068
Tl 0.399 0.199 0.598
In 0.986 0.493 0.479
I 0.121 0.240 0.775
I 0.145 0.355 0.252
I 0.462 0.106 0.252
I 0.535 0.881 0.775
I 0.893 0.654 0.775
I 0.897 0.791 0.252

Values from the calculation:
Magnetization: 0.0 μB/cell
Formation energy (no corrections): -9.12 eV/f.u.

(5)
A plane-wave DFT calculation with PBE was carried out for an optimized crystal structure of InTcI6.

a b c (Å): 7.579 7.579 7.452
angles (deg): 94.10 94.10 120.20
Element x y z (fractional)
In 0.000 0.000 0.000
Tc 0.000 0.000 0.500
I 0.002 0.290 0.297
I 0.290 0.002 0.297
I 0.292 0.292 0.767
I 0.708 0.708 0.233
I 0.710 0.998 0.703
I 0.998 0.710 0.703

Values from the calculation:
Magnetization: 2.0 μB/cell
Formation energy (no corrections): -1.94 eV/f.u.

(6)
A plane-wave DFT calculation with PBE was carried out for an optimized crystal structure of InTc2I.

a b c (Å): 4.649 4.649 4.649
angles (deg): 60.00 60.00 60.00
Element x y z (fractional)
In 0.000 0.000 0.000
Tc 0.250 0.250 0.250
Tc 0.750 0.750 0.750
I 0.500 0.500 0.500

Values from the calculation:
Excess energy over the best structure of this formula in the dataset: 0.000 eV per atom
Magnetization: 0.0 μB/cell
Formation energy (no corrections): 3.28 eV/f.u.

(7)
A plane-wave DFT calculation with PBE was carried out for an optimized crystal structure of InTc2I.

a b c (Å): 6.066 6.066 6.066
angles (deg): 104.52 104.52 119.90
Element x y z (fractional)
In 0.000 0.000 0.000
In 0.750 0.250 0.500
Tc 0.171 0.125 0.546
Tc 0.375 0.829 0.954
Tc 0.579 0.625 0.454
Tc 0.875 0.421 0.046
I 0.250 0.750 0.500
I 0.500 0.500 0.000

Values from the calculation:
Excess energy over the best structure of this formula in the dataset: 0.476 eV per atom
Magnetization: 0.0 μB/cell
Formation energy (no corrections): 5.19 eV/f.u.

(8)
A plane-wave DFT calculation with PBE was carried out for an optimized crystal structure of InTcI3.

a b c (Å): 5.984 5.984 5.984
angles (deg): 90.00 90.00 90.00
Element x y z (fractional)
In 0.000 0.000 0.000
Tc 0.500 0.500 0.500
I 0.000 0.000 0.500
I 0.000 0.500 0.000
I 0.500 0.000 0.000

Values from the calculation:
Excess energy over the best structure of this formula in the dataset: 0.641 eV per atom
Magnetization: 5.5 μB/cell
Formation energy (no corrections): 3.91 eV/f.u.